The following is a DFT calculation (PBE-GGA) of an optimized crystal structure of HoErHg4.

Computed properties:
- electronic total energy (eV for the cell shown) = -12.64

Geometry as POSCAR:
```
HoErHg4
1.0
5.183 0.000 0.000
0.000 1.939 7.294
0.000 -1.939 7.294
Ho Er Hg
1 1 4
Cartesian
0.000 0.000 0.000
2.592 0.000 3.038
0.000 0.000 4.875
0.000 0.000 9.754
2.592 0.000 7.880
2.592 0.000 12.743
```